# Pr4YHg3 | the Alexandria database | GGA-PBE | optimized geometry
data_Pr4YHg3
_chemical_formula_sum 'Pr8 Y2 Hg6'
_space_group_name_H-M_alt 'P m m a'
_space_group_IT_number 51
_cell_length_a 11.226
_cell_length_b 7.214
_cell_length_c 5.811
_cell_angle_alpha 90.00
_cell_angle_beta 90.00
_cell_angle_gamma 90.00
loop_
_space_group_symop_operation_xyz
'x,y,z'
'-x,-y,-z'
'-x+1/2,-y,z'
'x+1/2,y,-z'
'x+1/2,-y,-z'
'-x+1/2,y,z'
'-x,y,-z'
'x,-y,z'
loop_
_atom_site_label
_atom_site_fract_x
_atom_site_fract_y
_atom_site_fract_z
Pr1 0.000 0.243 0.000
Pr2 0.250 0.239 0.403
Y1 0.000 0.500 0.500
Hg1 0.000 0.000 0.500
Hg2 0.250 0.000 0.896
Hg3 0.250 0.500 0.876
# - Formation enthalpy at 0 K: -2.25 eV per formula unit
# - Total DFT energy (no corrections): -57.48 eV per cell
# - ρ: 8.851 Mg/m³

# ZnCu2Rh | the Alexandria database | GGA-PBE | optimized geometry
data_ZnCu2Rh
_chemical_formula_sum 'Zn2 Cu4 Rh2'
_space_group_name_H-M_alt 'C m m m'
_space_group_IT_number 65
_space_group_name_Hall '-C 2 2'
_cell_length_a 5.244
_cell_length_b 7.156
_cell_length_c 2.798
_cell_angle_alpha 90.00
_cell_angle_beta 90.00
_cell_angle_gamma 90.00
loop_
_atom_site_label
_atom_site_fract_x
_atom_site_fract_y
_atom_site_fract_z
Zn1 0.000 0.000 0.000
Cu1 0.250 0.250 0.500
Rh1 0.000 0.500 0.000
# - Formation enthalpy at 0 K: -0.35 eV per formula unit
# - Total DFT energy (no corrections): -34.34 eV per cell
# - ρ: 9.341 Mg/m³